Density functional theory data (PBE) for a geometry-optimized HfSb2Pt structure.

Results
Calculated total energy ... -98.00 eV/cell

Unit cell a=7.033 b=7.033 c=7.033 alpha=90.00 beta=90.00 gamma=90.00
Positions (direct):
1 Hf 0.000 0.000 0.000
2 Hf 0.000 0.500 0.500
3 Hf 0.500 0.000 0.500
4 Hf 0.500 0.500 0.000
5 Sb 0.000 0.000 0.500
6 Sb 0.000 0.500 0.000
7 Sb 0.250 0.250 0.250
8 Sb 0.250 0.750 0.750
9 Sb 0.500 0.000 0.000
10 Sb 0.500 0.500 0.500
11 Sb 0.750 0.250 0.750
12 Sb 0.750 0.750 0.250
13 Pt 0.250 0.250 0.750
14 Pt 0.250 0.750 0.250
15 Pt 0.750 0.250 0.250
16 Pt 0.750 0.750 0.750

Density functional theory data (PBE) for a geometry-optimized HfSbPt2 structure.

Results
Calculated total energy ... -112.03 eV/cell

Unit cell a=6.636 b=6.636 c=6.636 alpha=90.00 beta=90.00 gamma=90.00
Positions (direct):
1 Hf 0.000 0.000 0.000
2 Hf 0.000 0.500 0.500
3 Hf 0.500 0.000 0.500
4 Hf 0.500 0.500 0.000
5 Sb 0.250 0.250 0.750
6 Sb 0.250 0.750 0.250
7 Sb 0.750 0.250 0.250
8 Sb 0.750 0.750 0.750
9 Pt 0.000 0.000 0.500
10 Pt 0.000 0.500 0.000
11 Pt 0.250 0.250 0.250
12 Pt 0.250 0.750 0.750
13 Pt 0.500 0.000 0.000
14 Pt 0.500 0.500 0.500
15 Pt 0.750 0.250 0.750
16 Pt 0.750 0.750 0.250

Density functional theory data (PBE) for a geometry-optimized Hf2ZrSb4Pt4 structure.

Results
Calculated total energy ... -78.79 eV/cell

Unit cell a=7.728 b=7.728 c=7.728 alpha=131.18 beta=131.18 gamma=71.53
Positions (direct):
1 Hf 0.250 0.750 0.500
2 Hf 0.750 0.250 0.500
3 Zr 0.000 0.000 0.000
4 Sb 0.000 0.500 0.500
5 Sb 0.267 0.267 0.000
6 Sb 0.500 0.000 0.500
7 Sb 0.733 0.733 0.000
8 Pt 0.104 0.104 0.472
9 Pt 0.368 0.896 0.000
10 Pt 0.632 0.632 0.528
11 Pt 0.896 0.368 0.000

Density functional theory data (PBE) for a geometry-optimized HfZr2Sb4Pt4 structure.

Results
Calculated total energy ... -77.50 eV/cell

Unit cell a=7.740 b=7.740 c=7.740 alpha=131.21 beta=131.21 gamma=71.48
Positions (direct):
1 Hf 0.000 0.000 0.000
2 Zr 0.250 0.750 0.500
3 Zr 0.750 0.250 0.500
4 Sb 0.000 0.500 0.500
5 Sb 0.267 0.267 0.000
6 Sb 0.500 0.000 0.500
7 Sb 0.733 0.733 0.000
8 Pt 0.105 0.105 0.468
9 Pt 0.363 0.895 0.000
10 Pt 0.637 0.637 0.532
11 Pt 0.895 0.363 0.000

Density functional theory data (PBE) for a geometry-optimized Hf2ScPt structure.

Results
DFT formation energy ... -0.313 eV per atom

Unit cell a=6.750 b=6.750 c=6.750 alpha=90.00 beta=90.00 gamma=90.00
Positions (direct):
1 Hf 0.000 0.000 0.000
2 Hf 0.000 0.500 0.500
3 Hf 0.250 0.250 0.250
4 Hf 0.250 0.750 0.750
5 Hf 0.500 0.000 0.500
6 Hf 0.500 0.500 0.000
7 Hf 0.750 0.250 0.750
8 Hf 0.750 0.750 0.250
9 Sc 0.000 0.000 0.500
10 Sc 0.000 0.500 0.000
11 Sc 0.500 0.000 0.000
12 Sc 0.500 0.500 0.500
13 Pt 0.250 0.250 0.750
14 Pt 0.250 0.750 0.250
15 Pt 0.750 0.250 0.250
16 Pt 0.750 0.750 0.750

Density functional theory data (PBE) for a geometry-optimized HfScPt2 structure.

Results
DFT formation energy ... -0.799 eV per atom

Unit cell a=6.499 b=6.499 c=6.499 alpha=90.00 beta=90.00 gamma=90.00
Positions (direct):
1 Hf 0.000 0.000 0.000
2 Hf 0.000 0.500 0.500
3 Hf 0.500 0.000 0.500
4 Hf 0.500 0.500 0.000
5 Sc 0.250 0.250 0.750
6 Sc 0.250 0.750 0.250
7 Sc 0.750 0.250 0.250
8 Sc 0.750 0.750 0.750
9 Pt 0.000 0.000 0.500
10 Pt 0.000 0.500 0.000
11 Pt 0.250 0.250 0.250
12 Pt 0.250 0.750 0.750
13 Pt 0.500 0.000 0.000
14 Pt 0.500 0.500 0.500
15 Pt 0.750 0.250 0.750
16 Pt 0.750 0.750 0.250

Density functional theory data (PBE) for a geometry-optimized HfSc2Pt structure.

Results
DFT formation energy ... -0.401 eV per atom

Unit cell a=6.750 b=6.750 c=6.750 alpha=90.00 beta=90.00 gamma=90.00
Positions (direct):
1 Hf 0.000 0.000 0.000
2 Hf 0.000 0.500 0.500
3 Hf 0.500 0.000 0.500
4 Hf 0.500 0.500 0.000
5 Sc 0.000 0.000 0.500
6 Sc 0.000 0.500 0.000
7 Sc 0.250 0.250 0.250
8 Sc 0.250 0.750 0.750
9 Sc 0.500 0.000 0.000
10 Sc 0.500 0.500 0.500
11 Sc 0.750 0.250 0.750
12 Sc 0.750 0.750 0.250
13 Pt 0.250 0.250 0.750
14 Pt 0.250 0.750 0.250
15 Pt 0.750 0.250 0.250
16 Pt 0.750 0.750 0.750

Density functional theory data (PBE) for a geometry-optimized HfScPt structure.

Results
DFT formation energy ... -0.698 eV per atom
Relative energy among the computed polymorphs ... 0 meV per atom

Unit cell a=6.420 b=6.420 c=6.420 alpha=90.00 beta=90.00 gamma=90.00
Positions (direct):
1 Hf 0.000 0.000 0.000
2 Hf 0.000 0.500 0.500
3 Hf 0.500 0.000 0.500
4 Hf 0.500 0.500 0.000
5 Sc 0.000 0.000 0.500
6 Sc 0.000 0.500 0.000
7 Sc 0.500 0.000 0.000
8 Sc 0.500 0.500 0.500
9 Pt 0.250 0.250 0.250
10 Pt 0.250 0.750 0.750
11 Pt 0.750 0.250 0.750
12 Pt 0.750 0.750 0.250